Record 1
Here is a geometry-optimized Hf4Sc2As3N2 structure from Alexandria via LeMat-Bulk. Energies are from PBE-GGA.

a = 4.2586 Å, b = 4.2586 Å, c = 21.8674 Å
α = 90.00°, β = 90.00°, γ = 90.00°
Last column: nearest neighbours and their distance in Å.
Space group I4/mmm (No. 139)
Symmetry-distinct sites (fractional):
Hf 0.0000 0.5000 0.0791 (multiplicity 8)  2 N 2.18
Sc 0.0000 0.0000 0.1965 (multiplicity 4)  1 N 2.11
As 0.0000 0.0000 0.3233 (multiplicity 4)  5 Sc 2.77-3.04, 4 Hf 3.01
As 0.0000 0.0000 0.5000 (multiplicity 2)  8 Hf 2.74
N 0.0000 0.0000 0.1001 (multiplicity 4)  1 Sc 2.11, 4 Hf 2.18

**Total DFT energy (no corrections)**: -190.07 eV for the cell shown
**Volume**: 18.027 A^3/atom
**Uncorrected formation energy**: -1.0871 eV/atom



Record 2
Here is a geometry-optimized Hf2TeAsN structure from Alexandria via LeMat-Bulk. Energies are from PBE-GGA.

a = 4.4484 Å, b = 4.4484 Å, c = 4.8324 Å
α = 90.00°, β = 90.00°, γ = 90.00°
Last column: nearest neighbours and their distance in Å.
Space group P4/mmm (No. 123)
Symmetry-distinct sites (fractional):
Hf 0.0000 0.5000 0.0000 (multiplicity 2)  2 N 2.22
Te 0.0000 0.0000 0.5000 (multiplicity 1)  2 N 2.42
As 0.5000 0.5000 0.5000 (multiplicity 1)  4 Te 3.15, 8 Hf 3.28
N 0.0000 0.0000 0.0000 (multiplicity 1)  4 Hf 2.22, 2 Te 2.42

**Total DFT energy (no corrections)**: -36.43 eV for the cell shown
**Volume**: 19.125 A^3/atom
**Uncorrected formation energy**: -0.0817 eV/atom



Record 3
Here is a geometry-optimized HfTiAs2N structure from Alexandria via LeMat-Bulk. Energies are from PBE-GGA.

a = 5.1743 Å, b = 5.1743 Å, c = 3.9716 Å
α = 90.00°, β = 90.00°, γ = 90.00°
Last column: nearest neighbours and their distance in Å.
Space group P4/mmm (No. 123)
Symmetry-distinct sites (fractional):
Hf 0.0000 0.0000 0.0000 (multiplicity 1)  2 N 1.99
Ti 0.5000 0.5000 0.5000 (multiplicity 1)  8 As 3.26
As 0.0000 0.5000 0.0000 (multiplicity 2)  2 Hf 2.59
N 0.0000 0.0000 0.5000 (multiplicity 1)  2 Hf 1.99

**Total DFT energy (no corrections)**: -33.83 eV for the cell shown
**Volume**: 21.267 A^3/atom
**Uncorrected formation energy**: 0.3284 eV/atom



Record 4
Here is a geometry-optimized HfZnAsN structure from Alexandria via LeMat-Bulk. Energies are from PBE-GGA.

a = 3.7901 Å, b = 3.7901 Å, c = 30.9171 Å
α = 90.00°, β = 90.00°, γ = 120.00°
Last column: nearest neighbours and their distance in Å.
Space group R-3m (No. 166, hexagonal axes)
Symmetry-distinct sites (fractional):
Hf 0.0000 0.0000 0.1268 (multiplicity 6)  4 N 2.10-2.22
Zn 0.0000 0.0000 0.3070 (multiplicity 6)  4 As 2.43-2.69
As 0.0000 0.0000 0.3939 (multiplicity 6)  4 Zn 2.43-2.69
N 0.0000 0.0000 0.1949 (multiplicity 6)  4 Hf 2.10-2.22

**Total DFT energy (no corrections)**: -165.48 eV for the cell shown
**Volume**: 16.026 A^3/atom
**Uncorrected formation energy**: -0.8444 eV/atom



Record 5
Here is a geometry-optimized NaHfAs2 structure from Alexandria via LeMat-Bulk. Energies are from PBE-GGA.

a = 3.4005 Å, b = 3.4005 Å, c = 7.3563 Å
α = 90.00°, β = 90.00°, γ = 90.00°
Last column: nearest neighbours and their distance in Å.
Space group P4/mmm (No. 123)
Symmetry-distinct sites (fractional):
Na 0.0000 0.0000 0.0000 (multiplicity 1)  8 As 3.22, 4 Na 3.40
Hf 0.0000 0.0000 0.5000 (multiplicity 1)  8 As 2.85
As 0.5000 0.5000 0.2911 (multiplicity 2)  4 Hf 2.85, 1 As 3.07

**Total DFT energy (no corrections)**: -22.62 eV for the cell shown
**ΔE_f**: -0.511 eV per atom
**Volume**: 21.266 A^3/atom
**Relative energy among the computed polymorphs**: 0.120 eV/atom



Record 6
Here is a geometry-optimized Na2HfAs structure from Alexandria via LeMat-Bulk. Energies are from PBE-GGA.

a = 7.1484 Å, b = 7.1484 Å, c = 7.1484 Å
α = 90.00°, β = 90.00°, γ = 90.00°
Last column: nearest neighbours and their distance in Å.
Space group Fm-3m (No. 225)
Symmetry-distinct sites (fractional):
Na 0.2500 0.2500 0.2500 (multiplicity 8)  4 Hf 3.10, 4 As 3.10
Hf 0.0000 0.0000 0.0000 (multiplicity 4)  8 Na 3.10
As 0.0000 0.0000 0.5000 (multiplicity 4)  8 Na 3.10

**Total DFT energy (no corrections)**: -58.75 eV for the cell shown
**ΔE_f**: 0.638 eV per atom
**Volume**: 22.830 A^3/atom
**Relative energy among the computed polymorphs**: 0.653 eV/atom



Record 7
Here is a geometry-optimized NaHfAs2 structure from Alexandria via LeMat-Bulk. Energies are from PBE-GGA.

a = 3.7935 Å, b = 3.7935 Å, c = 22.3150 Å
α = 90.00°, β = 90.00°, γ = 120.00°
Last column: nearest neighbours and their distance in Å.
Space group R3m (No. 160, hexagonal axes)
Symmetry-distinct sites (fractional):
Na 0.0000 0.0000 0.0000 (multiplicity 3)  6 As 3.02-3.06
Hf 0.0000 0.0000 0.8313 (multiplicity 3)  6 As 2.71-2.73
As 0.0000 0.0000 0.2376 (multiplicity 3)  3 Hf 2.73
As 0.0000 0.0000 0.4262 (multiplicity 3)  3 Hf 2.71, 3 Na 3.02

**Total DFT energy (no corrections)**: -69.21 eV for the cell shown
**ΔE_f**: -0.624 eV per atom
**Volume**: 23.175 A^3/atom
**Relative energy among the computed polymorphs**: 0.007 eV/atom



Record 8
Here is a geometry-optimized NaHfAs3 structure from Alexandria via LeMat-Bulk. Energies are from PBE-GGA.

a = 4.8411 Å, b = 4.8411 Å, c = 4.8411 Å
α = 90.00°, β = 90.00°, γ = 90.00°
Last column: nearest neighbours and their distance in Å.
Space group Pm-3m (No. 221)
Symmetry-distinct sites (fractional):
Na 0.0000 0.0000 0.0000 (multiplicity 1)  6 As 2.42
Hf 0.5000 0.5000 0.5000 (multiplicity 1)  12 As 3.42
As 0.0000 0.0000 0.5000 (multiplicity 3)  2 Na 2.42

**Total DFT energy (no corrections)**: -20.56 eV for the cell shown
**ΔE_f**: 0.933 eV per atom
**Volume**: 22.692 A^3/atom
**Relative energy among the computed polymorphs**: 1.088 eV/atom



Record 9
Here is a geometry-optimized NaHf3As structure from Alexandria via LeMat-Bulk. Energies are from PBE-GGA.

a = 4.9033 Å, b = 4.9033 Å, c = 4.9033 Å
α = 90.00°, β = 90.00°, γ = 90.00°
Last column: nearest neighbours and their distance in Å.
Space group Pm-3m (No. 221)
Symmetry-distinct sites (fractional):
Na 0.0000 0.0000 0.0000 (multiplicity 1)  6 Hf 2.45
Hf 0.0000 0.0000 0.5000 (multiplicity 3)  2 Na 2.45
As 0.5000 0.5000 0.5000 (multiplicity 1)  12 Hf 3.47

**Total DFT energy (no corrections)**: -28.24 eV for the cell shown
**ΔE_f**: 1.518 eV per atom
**Volume**: 23.577 A^3/atom
**Relative energy among the computed polymorphs**: 1.141 eV/atom



Record 10
Here is a geometry-optimized Na2HfAs structure from Alexandria via LeMat-Bulk. Energies are from PBE-GGA.

a = 3.9106 Å, b = 3.9106 Å, c = 23.9140 Å
α = 90.00°, β = 90.00°, γ = 90.00°
Last column: nearest neighbours and their distance in Å.
Space group I-42d (No. 122)
Symmetry-distinct sites (fractional):
Na 0.2367 0.2500 0.1250 (multiplicity 8)  4 Na 2.69-2.84
Hf 0.0000 0.0000 0.5000 (multiplicity 4)  4 As 2.77
As 0.0000 0.0000 0.0000 (multiplicity 4)  4 Hf 2.77

**Total DFT energy (no corrections)**: -69.19 eV for the cell shown
**ΔE_f**: -0.014 eV per atom
**Volume**: 22.856 A^3/atom
**Relative energy among the computed polymorphs**: 0.000 eV/atom



Record 11
Here is a geometry-optimized NaHfAs2 structure from Alexandria via LeMat-Bulk. Energies are from PBE-GGA.

a = 6.3391 Å, b = 6.3391 Å, c = 13.1797 Å
α = 90.00°, β = 90.00°, γ = 90.00°
Last column: nearest neighbours and their distance in Å.
Space group I-42d (No. 122)
Symmetry-distinct sites (fractional):
Na 0.0000 0.0000 0.0000 (multiplicity 4)  4 As 3.04
Hf 0.0000 0.0000 0.5000 (multiplicity 4)  4 As 2.56
As 0.1833 0.2500 0.6250 (multiplicity 8)  2 Hf 2.56

**Total DFT energy (no corrections)**: -85.63 eV for the cell shown
**ΔE_f**: -0.209 eV per atom
**Volume**: 33.101 A^3/atom
**Relative energy among the computed polymorphs**: 0.422 eV/atom



Record 12
Here is a geometry-optimized NaHfAs2 structure from Alexandria via LeMat-Bulk. Energies are from PBE-GGA.

a = 6.8053 Å, b = 6.8053 Å, c = 6.8053 Å
α = 90.00°, β = 90.00°, γ = 90.00°
Last column: nearest neighbours and their distance in Å.
Space group Fm-3m (No. 225)
Symmetry-distinct sites (fractional):
Na 0.0000 0.0000 0.0000 (multiplicity 4)  8 As 2.95
Hf 0.0000 0.0000 0.5000 (multiplicity 4)  8 As 2.95
As 0.2500 0.2500 0.2500 (multiplicity 8)  4 Hf 2.95, 4 Na 2.95

**Total DFT energy (no corrections)**: -87.65 eV for the cell shown
**ΔE_f**: -0.335 eV per atom
**Volume**: 19.698 A^3/atom
**Relative energy among the computed polymorphs**: 0.296 eV/atom



Record 13
Here is a geometry-optimized NaHfAs2 structure from Alexandria via LeMat-Bulk. Energies are from PBE-GGA.

a = 3.7378 Å, b = 3.7378 Å, c = 22.7147 Å
α = 90.00°, β = 90.00°, γ = 120.00°
Last column: nearest neighbours and their distance in Å.
Space group R-3m (No. 166, hexagonal axes)
Symmetry-distinct sites (fractional):
Na 0.0000 0.0000 0.0000 (multiplicity 3)  6 As 3.03
Hf 0.0000 0.0000 0.5000 (multiplicity 3)  6 As 2.72
As 0.0000 0.0000 0.2399 (multiplicity 6)  3 Hf 2.72, 3 Na 3.03

**Total DFT energy (no corrections)**: -69.28 eV for the cell shown
**ΔE_f**: -0.631 eV per atom
**Volume**: 22.903 A^3/atom
**Relative energy among the computed polymorphs**: 0.000 eV/atom



Record 14
Here is a geometry-optimized NaHf3As structure from Alexandria via LeMat-Bulk. Energies are from PBE-GGA.

a = 5.0488 Å, b = 5.0488 Å, c = 5.0488 Å
α = 90.00°, β = 90.00°, γ = 90.00°
Last column: nearest neighbours and their distance in Å.
Space group Pm-3m (No. 221)
Symmetry-distinct sites (fractional):
Na 0.0000 0.0000 0.0000 (multiplicity 1)  12 Hf 3.57
Hf 0.0000 0.5000 0.5000 (multiplicity 3)  2 As 2.52
As 0.5000 0.5000 0.5000 (multiplicity 1)  6 Hf 2.52

**Total DFT energy (no corrections)**: -33.94 eV for the cell shown
**ΔE_f**: 0.377 eV per atom
**Volume**: 25.739 A^3/atom
**Relative energy among the computed polymorphs**: 0.000 eV/atom



Record 15
Here is a geometry-optimized NaHfAs3 structure from Alexandria via LeMat-Bulk. Energies are from PBE-GGA.

a = 5.1806 Å, b = 5.1806 Å, c = 5.1806 Å
α = 90.00°, β = 90.00°, γ = 90.00°
Last column: nearest neighbours and their distance in Å.
Space group Pm-3m (No. 221)
Symmetry-distinct sites (fractional):
Na 0.0000 0.0000 0.0000 (multiplicity 1)  12 As 3.66
Hf 0.5000 0.5000 0.5000 (multiplicity 1)  6 As 2.59
As 0.0000 0.5000 0.5000 (multiplicity 3)  2 Hf 2.59

**Total DFT energy (no corrections)**: -26.00 eV for the cell shown
**ΔE_f**: -0.155 eV per atom
**Volume**: 27.807 A^3/atom
**Relative energy among the computed polymorphs**: 0.000 eV/atom



Record 16
Here is a geometry-optimized NaHfNbAs2 structure from Alexandria via LeMat-Bulk. Energies are from PBE-GGA.

a = 5.2033 Å, b = 5.2033 Å, c = 5.1134 Å
α = 90.00°, β = 90.00°, γ = 90.00°
Last column: nearest neighbours and their distance in Å.
Space group P4/mmm (No. 123)
Symmetry-distinct sites (fractional):
Na 0.0000 0.0000 0.0000 (multiplicity 1)  8 As 3.65, 4 Nb 3.68
Hf 0.5000 0.5000 0.5000 (multiplicity 1)  2 Nb 2.56, 4 As 2.60
Nb 0.5000 0.5000 0.0000 (multiplicity 1)  2 Hf 2.56
As 0.0000 0.5000 0.5000 (multiplicity 2)  2 Hf 2.60

**Total DFT energy (no corrections)**: -27.59 eV for the cell shown
**ΔE_f**: 0.610 eV per atom
**Volume**: 27.688 A^3/atom



Record 17
Here is a geometry-optimized NaHfAsO5 structure from Alexandria via LeMat-Bulk. Energies are from PBE-GGA.

a = 7.1463 Å, b = 9.0682 Å, c = 7.5856 Å
α = 90.00°, β = 114.95°, γ = 90.00°
Last column: nearest neighbours and their distance in Å.
Space group C2/c (No. 15)
Symmetry-distinct sites (fractional):
Na 0.0000 0.1780 0.2500 (multiplicity 4)  3 O 2.28-2.53
Hf 0.0000 0.5000 0.0000 (multiplicity 4)  6 O 2.00-2.15
As 0.0000 0.1750 0.7500 (multiplicity 4)  4 O 1.72
O 0.0000 0.4289 0.2500 (multiplicity 4)  2 Hf 2.00
O 0.0905 0.2821 0.6148 (multiplicity 8)  1 As 1.72
O 0.1851 0.0581 0.9052 (multiplicity 8)  1 As 1.72

**Total DFT energy (no corrections)**: -235.92 eV for the cell shown
**Volume**: 13.928 A^3/atom
**Uncorrected formation energy**: -2.2835 eV/atom



Record 18
Here is a geometry-optimized NaHfAsO6 structure from Alexandria via LeMat-Bulk. Energies are from PBE-GGA.

a = 5.3157 Å, b = 5.3157 Å, c = 9.8572 Å
α = 90.00°, β = 90.00°, γ = 120.00°
Last column: nearest neighbours and their distance in Å.
Space group P-31c (No. 163)
Symmetry-distinct sites (fractional):
Na 0.0000 0.0000 0.0000 (multiplicity 2)  6 O 2.44
Hf 0.3333 0.6667 0.2500 (multiplicity 2)  6 O 2.10
As 0.3333 0.6667 0.7500 (multiplicity 2)  6 O 1.85
O 0.0345 0.3871 0.6454 (multiplicity 12)  1 As 1.85

**Total DFT energy (no corrections)**: -121.27 eV for the cell shown
**Volume**: 13.401 A^3/atom
**Uncorrected formation energy**: -1.6628 eV/atom



Record 19
Here is a geometry-optimized Na2Hf2As2P structure from Alexandria via LeMat-Bulk. Energies are from PBE-GGA.

a = 4.8299 Å, b = 4.8299 Å, c = 15.1322 Å
α = 90.00°, β = 90.00°, γ = 90.00°
Last column: nearest neighbours and their distance in Å.
Space group I4/mmm (No. 139)
Symmetry-distinct sites (fractional):
Na 0.0000 0.0000 0.1906 (multiplicity 4)  1 P 2.88, 1 As 2.95
Hf 0.0000 0.5000 0.0000 (multiplicity 4)  2 P 2.41
As 0.0000 0.0000 0.3856 (multiplicity 4)  1 Na 2.95, 4 Hf 2.97
P 0.0000 0.0000 0.0000 (multiplicity 2)  4 Hf 2.41

**Total DFT energy (no corrections)**: -82.50 eV for the cell shown
**ΔE_f**: -0.571 eV per atom
**Volume**: 25.214 A^3/atom



Record 20
Here is a geometry-optimized Na2Hf2As2S structure from Alexandria via LeMat-Bulk. Energies are from PBE-GGA.

a = 4.7631 Å, b = 4.7631 Å, c = 15.1823 Å
α = 90.00°, β = 90.00°, γ = 90.00°
Last column: nearest neighbours and their distance in Å.
Space group I4/mmm (No. 139)
Symmetry-distinct sites (fractional):
Na 0.0000 0.0000 0.1911 (multiplicity 4)  1 S 2.90, 1 As 2.95
Hf 0.0000 0.5000 0.0000 (multiplicity 4)  2 S 2.38
As 0.0000 0.0000 0.3851 (multiplicity 4)  1 Na 2.95, 4 Hf 2.95
S 0.0000 0.0000 0.0000 (multiplicity 2)  4 Hf 2.38

**Total DFT energy (no corrections)**: -81.42 eV for the cell shown
**Volume**: 24.603 A^3/atom
**Uncorrected formation energy**: -0.6768 eV/atom